# Co2MoAs

A relaxed structure of Co2MoAs (PBE-GGA, the Alexandria database).

Calculated values
- Calculated total energy: -7.38 eV per atom
- Space group: No. 10
- ΔE_f: 0.048 eV/atom

Lattice parameters (Å, degrees): 3.8589 2.7481 5.0506 76.02 90.00 90.00
Last column: magnetic moment on the atom in μB.
Atoms (fractional coordinates):
Co (0.0000, 0.8694, 0.9982)  0.12
Co (0.0000, 0.6306, 0.5018)  0.12
As (0.5000, 0.7500, 0.7500)  0.00
Mo (0.5000, 0.2500, 0.2500)  -0.04